No. 1
# Li6ZnCu2, optimized geometry, DFT PBE
data_Li6ZnCu2
_chemical_formula_sum 'Li6 Zn1 Cu2'
_cell_length_a 4.3694
_cell_length_b 4.3694
_cell_length_c 7.9825
_cell_angle_alpha 90.51
_cell_angle_beta 90.51
_cell_angle_gamma 60.31
_symmetry_space_group_name_H-M 'P 1'
_symmetry_Int_Tables_number 1
_symmetry_space_group_name_Hall 'P 1'
loop_
_atom_site_label
_atom_site_type_symbol
_atom_site_fract_x
_atom_site_fract_y
_atom_site_fract_z
Li1 Li 0.0009 0.0009 0.3471
Li2 Li 0.3329 0.3329 0.8829
Li3 Li 0.3341 0.3341 0.2290
Li4 Li 0.6659 0.6659 0.7710
Li5 Li 0.6671 0.6671 0.1171
Li6 Li 0.9991 0.9991 0.6529
Zn1 Zn 0.0000 0.0000 0.0000
Cu1 Cu 0.3329 0.3329 0.5420
Cu2 Cu 0.6671 0.6671 0.4580
# **Polymorph energy (0 for the lowest one)**: 0.003 eV/atom
# **Size of the total moment**: 0.000 μB per atom
# **SG**: C2/m, No. 12
# **V**: 132.4 Å³/cell
# **Crystal system**: monoclinic

---

No. 2
# SrSiSN2, optimized geometry, DFT PBE
data_SrSiSN2
_chemical_formula_sum 'Sr1 Si1 S1 N2'
_cell_length_a 4.7251
_cell_length_b 4.7251
_cell_length_c 5.8201
_cell_angle_alpha 90.00
_cell_angle_beta 90.00
_cell_angle_gamma 90.00
_symmetry_space_group_name_H-M 'P 1'
_symmetry_Int_Tables_number 1
_symmetry_space_group_name_Hall 'P 1'
loop_
_atom_site_label
_atom_site_type_symbol
_atom_site_fract_x
_atom_site_fract_y
_atom_site_fract_z
Sr1 Sr 0.0000 0.0000 0.0000
Si1 Si 0.5000 0.5000 0.5000
S1 S 0.0000 0.0000 0.5000
N1 N 0.0000 0.5000 0.0000
N2 N 0.5000 0.0000 0.0000
# **Polymorph energy (0 for the lowest one)**: 1.845 eV/atom
# **Size of the total moment**: 0.800 μB per atom
# **Formation energy (no corrections)**: 8.43 eV/f.u.
# **SG**: P4/mmm, No. 123
# **V**: 129.9 Å³/cell
# **Crystal system**: tetragonal

---

No. 3
# CsTcGePd2, optimized geometry, DFT PBE
data_CsTcGePd2
_chemical_formula_sum 'Cs1 Tc1 Ge1 Pd2'
_cell_length_a 4.9263
_cell_length_b 4.9263
_cell_length_c 5.5023
_cell_angle_alpha 90.00
_cell_angle_beta 90.00
_cell_angle_gamma 90.00
_symmetry_space_group_name_H-M 'P 1'
_symmetry_Int_Tables_number 1
_symmetry_space_group_name_Hall 'P 1'
loop_
_atom_site_label
_atom_site_type_symbol
_atom_site_fract_x
_atom_site_fract_y
_atom_site_fract_z
Cs1 Cs 0.0000 0.0000 0.0000
Tc1 Tc 0.0000 0.0000 0.5000
Ge1 Ge 0.5000 0.5000 0.0000
Pd1 Pd 0.0000 0.5000 0.5000
Pd2 Pd 0.5000 0.0000 0.5000
# **Uncorrected energy**: -0.283 Ry per atom
# **Size of the total moment**: 0.000 μB per atom
# **SG**: P4/mmm, No. 123
# **V**: 133.5 Å³/cell
# **Crystal system**: tetragonal